An optimized crystal structure of Ba2NbIr. Source: the Open Quantum Materials Database, functional PBE-GGA.

POSCAR file:
```
Ba2NbIr
1.0
0.000 3.764 3.764
3.764 0.000 3.764
3.764 3.764 0.000
Ba Ir Nb
2 1 1
Direct
0.000 0.000 0.000
0.750 0.750 0.750
0.250 0.250 0.250
0.500 0.500 0.500
```

## Properties
Total magnetization ... 2.401 μB per cell
Calculated total energy ... -0.17658 Ha/atom